# 1
Density functional theory data (PBE-GGA) for crystalline SbTe3Au at its relaxed geometry.

Raw total energy in eV per atom: -2.87
Density in g cm⁻³: 7.391
Formation energy without anion corrections in meV per atom: 490
Polymorph energy (0 for the lowest one) in eV per atom: 0.462

a b c (Å): 5.402 5.402 5.402
angles (deg): 90.00 90.00 90.00
Element x y z (fractional)
Te (0.000, 0.500, 0.000)
Te (0.500, 0.000, 0.000)
Sb (0.500, 0.500, 0.500)
Te (0.000, 0.000, 0.500)
Au (0.000, 0.000, 0.000)

=====

# 2
Density functional theory data (PBE-GGA) for crystalline CeLuScAl at its relaxed geometry.

Raw total energy in eV per atom: -5.21
Density in g cm⁻³: 6.616

a b c (Å): 5.160 5.160 5.160
angles (deg): 60.00 60.00 60.00
Element x y z (fractional)
Ce (0.500, 0.500, 0.500)
Lu (0.250, 0.250, 0.250)
Sc (0.000, 0.000, 0.000)
Al (0.750, 0.750, 0.750)

=====

# 3
Density functional theory data (PBE-GGA) for crystalline CdHgAs2 at its relaxed geometry.

Raw total energy in eV per atom: -2.33
Density in g cm⁻³: 8.514
Polymorph energy (0 for the lowest one) in eV per atom: 0.277

a b c (Å): 10.639 10.639 10.639
angles (deg): 17.05 17.05 17.05
Element x y z (fractional)
As (0.990, 0.990, 0.990)
Hg (0.750, 0.750, 0.750)
As (0.510, 0.510, 0.510)
Cd (0.250, 0.250, 0.250)

=====

# 4
Density functional theory data (PBE-GGA) for crystalline DyMg2Ag6 at its relaxed geometry.

Raw total energy in eV per atom: -2.89
Density in g cm⁻³: 7.872

a b c (Å): 3.143 8.327 8.327
angles (deg): 58.32 79.12 79.12
Element x y z (fractional)
Ag (0.325, 0.351, 0.000)
Ag (0.325, 0.000, 0.351)
Ag (0.675, 0.000, 0.649)
Ag (0.675, 0.649, 0.000)
Dy (0.000, 0.000, 0.000)
Ag (0.500, 0.331, 0.669)
Ag (0.500, 0.669, 0.331)
Mg (0.853, 0.647, 0.647)
Mg (0.147, 0.353, 0.353)

=====

# 5
Density functional theory data (PBE-GGA) for crystalline YTeP2 at its relaxed geometry.

Raw total energy in eV per atom: -5.62
Density in g cm⁻³: 5.467
Formation energy without anion corrections in meV per atom: -511

a b c (Å): 5.477 5.477 5.477
angles (deg): 140.72 124.11 70.44
Element x y z (fractional)
P (0.220, 0.720, 0.500)
Te (0.467, 0.467, 0.000)
P (0.059, 0.059, 0.000)
Y (0.754, 0.254, 0.500)

=====

# 6
Density functional theory data (PBE-GGA) for crystalline Pr2SnBi at its relaxed geometry.

Raw total energy in eV per atom: -5.22
Density in g cm⁻³: 7.612
Polymorph energy (0 for the lowest one) in eV per atom: 0.000

a b c (Å): 4.516 4.704 12.735
angles (deg): 100.64 90.00 90.00
Element x y z (fractional)
Pr (0.250, 0.062, 0.124)
Pr (0.750, 0.682, 0.363)
Sn (0.250, 0.456, 0.912)
Sn (0.750, 0.544, 0.088)
Pr (0.250, 0.318, 0.637)
Bi (0.750, 0.811, 0.622)
Pr (0.750, 0.938, 0.876)
Bi (0.250, 0.189, 0.378)

=====

# 7
Density functional theory data (PBE-GGA) for crystalline Tb2ZnSi4Pt3 at its relaxed geometry.

Raw total energy in eV per atom: -6.01
Density in g cm⁻³: 10.291
Formation energy without anion corrections in meV per atom: -974

a b c (Å): 4.154 4.154 10.106
angles (deg): 90.00 90.00 90.00
Element x y z (fractional)
Si (0.000, 0.000, 0.000)
Pt (0.500, 0.000, 0.877)
Si (0.500, 0.000, 0.640)
Pt (0.000, 0.000, 0.500)
Tb (0.500, 0.000, 0.250)
Tb (0.000, 0.500, 0.750)
Si (0.500, 0.500, 0.000)
Pt (0.000, 0.500, 0.123)
Si (0.000, 0.500, 0.360)
Zn (0.500, 0.500, 0.500)

=====

# 8
Density functional theory data (PBE-GGA) for crystalline Cs3KHg9Pt2 at its relaxed geometry.

Raw total energy in eV per atom: -1.45
Density in g cm⁻³: 7.105

a b c (Å): 8.618 8.618 9.568
angles (deg): 90.00 90.00 120.00
Element x y z (fractional)
Hg (0.619, 0.809, 0.297)
Hg (0.809, 0.619, 0.703)
Hg (0.191, 0.381, 0.297)
Hg (0.500, 0.000, 0.000)
Cs (0.667, 0.333, 0.327)
Hg (0.500, 0.500, 0.000)
K (0.000, 0.000, 0.500)
Pt (0.333, 0.667, 0.110)
Hg (0.809, 0.191, 0.703)
Cs (0.333, 0.667, 0.673)
Hg (0.381, 0.191, 0.703)
Cs (0.000, 0.000, 0.000)
Pt (0.667, 0.333, 0.890)
Hg (0.000, 0.500, 0.000)
Hg (0.191, 0.809, 0.297)

=====

# 9
Density functional theory data (PBE-GGA) for crystalline MnPH2 at its relaxed geometry.

Raw total energy in eV per atom: -5.34
Density in g cm⁻³: 3.611
Polymorph energy (0 for the lowest one) in eV per atom: 0.083

a b c (Å): 2.988 2.571 10.525
angles (deg): 90.00 90.00 90.00
Each line ends with the local moment (μB).
Element x y z (fractional)
H (0.000, 0.500, 0.370)  -0.01
H (0.000, 0.000, 0.870)  -0.01
Mn (0.000, 0.500, 0.763)  0.22
H (0.500, 0.000, 0.526)  0.00
Mn (0.000, 0.000, 0.263)  0.22
P (0.500, 0.500, 0.162)  -0.01
P (0.500, 0.000, 0.662)  -0.01
H (0.500, 0.500, 0.026)  0.00

=====

# 10
Density functional theory data (PBE-GGA) for crystalline Pm3Mg2Pd6 at its relaxed geometry.

Raw total energy in eV per atom: -5.18
Density in g cm⁻³: 8.095

a b c (Å): 8.425 8.425 8.425
angles (deg): 109.47 109.47 109.47
Element x y z (fractional)
Pm (0.699, 0.000, 0.699)
Mg (0.000, 0.500, 0.000)
Pd (0.663, 0.000, 0.337)
Mg (0.500, 0.500, 0.500)
Pm (0.000, 0.301, 0.301)
Pm (0.301, 0.301, 0.000)
Mg (0.000, 0.000, 0.500)
Pd (0.000, 0.337, 0.663)
Pm (0.000, 0.699, 0.699)
Pm (0.699, 0.699, 0.000)
Pd (0.337, 0.663, 0.000)
Pd (0.674, 0.337, 0.337)
Pd (0.663, 0.663, 0.326)
Pd (0.337, 0.337, 0.674)
Pd (0.326, 0.663, 0.663)
Pm (0.301, 0.000, 0.301)
Pd (0.663, 0.337, 0.000)
Mg (0.500, 0.000, 0.000)
Pd (0.337, 0.674, 0.337)
Pd (0.663, 0.326, 0.663)
Pd (0.337, 0.000, 0.663)
Pd (0.000, 0.663, 0.337)

=====

# 11
Density functional theory data (PBE-GGA) for crystalline Er2HgPb3 at its relaxed geometry.

Raw total energy in eV per atom: -3.79
Density in g cm⁻³: 11.805
Polymorph energy (0 for the lowest one) in eV per atom: 0.000

a b c (Å): 4.536 4.614 8.099
angles (deg): 90.00 106.26 90.00
Element x y z (fractional)
Pb (0.674, 0.000, 0.348)
Er (0.151, 0.500, 0.301)
Er (0.849, 0.500, 0.699)
Hg (0.000, 0.000, 0.000)
Pb (0.326, 0.000, 0.652)
Pb (0.500, 0.500, 0.000)

=====

# 12
Density functional theory data (PBE-GGA) for crystalline As2BrCl at its relaxed geometry.

Raw total energy in eV per atom: -3.15
Density in g cm⁻³: 4.304
Formation energy without anion corrections in meV per atom: 59
Polymorph energy (0 for the lowest one) in eV per atom: 0.379

a b c (Å): 4.654 3.787 5.813
angles (deg): 92.69 90.00 90.00
Element x y z (fractional)
Br (0.500, 0.250, 0.250)
Cl (0.500, 0.750, 0.750)
As (0.000, 0.018, 0.904)
As (0.000, 0.482, 0.596)

=====

Question: What is the formula in the ninth record?
Answer: MnPH2